(1)
! PBE-GGA HgIrPt2, relaxed; values from VASP
! **DFT formation energy**: 373 meV per atom
! **SG**: No. 216
! **Total moment**: 0.11 Bohr magnetons per cell
&SYSTEM
  ibrav = 0, nat = 4, ntyp = 3
/
ATOMIC_SPECIES
Hg 200.59 Hg.upf
Ir 192.22 Ir.upf
Pt 195.08 Pt.upf
ATOMIC_POSITIONS crystal
Hg 0.2500 0.2500 0.2500
Ir 0.5000 0.5000 0.5000
Pt 0.0000 0.0000 0.0000
Pt 0.7500 0.7500 0.7500
CELL_PARAMETERS angstrom
0.0000 3.2104 3.2104
3.2104 0.0000 3.2104
3.2104 3.2104 0.0000

---

(2)
! PBE-GGA PuHgIr, relaxed; values from VASP
! **DFT formation energy**: -142 meV per atom
! **SG**: No. 216
! **Total moment**: 5.08 Bohr magnetons per cell
&SYSTEM
  ibrav = 0, nat = 3, ntyp = 3
/
ATOMIC_SPECIES
Hg 200.59 Hg.upf
Ir 192.22 Ir.upf
Pu 244.00 Pu.upf
ATOMIC_POSITIONS crystal
Hg 0.0000 0.0000 0.0000
Ir 0.2500 0.2500 0.2500
Pu 0.5000 0.5000 0.5000
CELL_PARAMETERS angstrom
3.4851 -2.0367 -2.3041
2.2508 -3.5973 1.8964
-0.5528 -4.2706 -1.7491

---

(3)
! PBE-GGA PuHgIr, relaxed; values from VASP
! **DFT formation energy**: 324 meV per atom
! **SG**: No. 216
! **Total moment**: 4.77 Bohr magnetons per cell
&SYSTEM
  ibrav = 0, nat = 3, ntyp = 3
/
ATOMIC_SPECIES
Hg 200.59 Hg.upf
Ir 192.22 Ir.upf
Pu 244.00 Pu.upf
ATOMIC_POSITIONS crystal
Hg 0.2500 0.2500 0.2500
Ir 0.7500 0.7500 0.7500
Pu 0.0000 0.0000 0.0000
CELL_PARAMETERS angstrom
0.0000 3.3074 3.3074
3.3074 0.0000 3.3074
3.3074 3.3074 0.0000

---

(4)
! PBE-GGA RbHgIr, relaxed; values from VASP
! **SG**: No. 216
! **ΔE to the lowest computed polymorph**: 607 meV per atom
! **Total moment**: 1.97 Bohr magnetons per cell
&SYSTEM
  ibrav = 0, nat = 3, ntyp = 3
/
ATOMIC_SPECIES
Hg 200.59 Hg.upf
Ir 192.22 Ir.upf
Rb 85.47 Rb.upf
ATOMIC_POSITIONS crystal
Hg 0.2500 0.2500 0.2500
Ir 0.7500 0.7500 0.7500
Rb 0.0000 0.0000 0.0000
CELL_PARAMETERS angstrom
1.0691 3.6054 4.1010
-1.1287 5.4055 -0.6833
-4.1934 2.3431 2.8080

---

(5)
! PBE-GGA RbHgIr, relaxed; values from VASP
! **SG**: No. 216
! **ΔE to the lowest computed polymorph**: 0 meV per atom
! **Total moment**: 0.02 Bohr magnetons per cell
&SYSTEM
  ibrav = 0, nat = 3, ntyp = 3
/
ATOMIC_SPECIES
Hg 200.59 Hg.upf
Ir 192.22 Ir.upf
Rb 85.47 Rb.upf
ATOMIC_POSITIONS crystal
Hg 0.2500 0.2500 0.2500
Ir 0.0000 0.0000 0.0000
Rb 0.7500 0.7500 0.7500
CELL_PARAMETERS angstrom
0.0000 3.4794 3.4794
3.4794 0.0000 3.4794
3.4794 3.4794 0.0000

---

(6)
! PBE-GGA TlHg3IrS4, relaxed; values from VASP
! **SG**: No. 215
! **Total moment**: 0.01 Bohr magnetons per cell
! **Energy**: -27.1 eV per cell
&SYSTEM
  ibrav = 0, nat = 9, ntyp = 4
/
ATOMIC_SPECIES
Hg 200.59 Hg.upf
Ir 192.22 Ir.upf
S 32.06 S.upf
Tl 204.38 Tl.upf
ATOMIC_POSITIONS crystal
Hg 0.5000 0.0000 0.0000
Hg 0.0000 0.5000 0.0000
Hg 0.0000 0.0000 0.5000
Ir 0.0000 0.0000 0.0000
S 0.8214 0.1786 0.1786
S 0.1786 0.8214 0.1786
S 0.1786 0.1786 0.8214
S 0.8214 0.8214 0.8214
Tl 0.5000 0.5000 0.5000
CELL_PARAMETERS angstrom
-7.1107 -0.1501 -0.5448
-0.3728 -3.9217 5.9466
-0.4247 5.9564 3.9015

---

(7)
! PBE-GGA ScHgSb2Ir2, relaxed; values from VASP
! **SG**: No. 31
! **Total moment**: 0.00 Bohr magnetons per cell
! **Energy**: -69.8 eV per cell
&SYSTEM
  ibrav = 0, nat = 12, ntyp = 4
/
ATOMIC_SPECIES
Hg 200.59 Hg.upf
Ir 192.22 Ir.upf
Sb 121.76 Sb.upf
Sc 44.96 Sc.upf
ATOMIC_POSITIONS crystal
Hg 0.0000 0.8869 0.4819
Hg 0.5000 0.1131 0.9819
Ir 0.0000 0.1515 0.2543
Ir 0.0000 0.6268 0.2575
Ir 0.5000 0.8485 0.7543
Ir 0.5000 0.3732 0.7575
Sb 0.0000 0.3855 0.0083
Sb 0.5000 0.1402 0.4925
Sb 0.5000 0.6145 0.5083
Sb 0.0000 0.8598 0.9925
Sc 0.5000 0.6211 0.0056
Sc 0.0000 0.3789 0.5056
CELL_PARAMETERS angstrom
4.4722 0.0000 0.0000
0.0000 9.2503 0.0000
0.0000 0.0000 6.3230

---

(8)
! PBE-GGA Si2HgIr, relaxed; values from VASP
! **SG**: No. 216
! **Total moment**: 0.00 Bohr magnetons per cell
! **Energy**: -17.5 eV per cell
&SYSTEM
  ibrav = 0, nat = 4, ntyp = 3
/
ATOMIC_SPECIES
Hg 200.59 Hg.upf
Ir 192.22 Ir.upf
Si 28.09 Si.upf
ATOMIC_POSITIONS crystal
Hg 0.5000 0.5000 0.5000
Ir 0.2500 0.2500 0.2500
Si 0.0000 0.0000 0.0000
Si 0.7500 0.7500 0.7500
CELL_PARAMETERS angstrom
0.0000 3.2219 3.2219
3.2219 0.0000 3.2219
3.2219 3.2219 0.0000

---

(9)
! PBE-GGA SmHgIr, relaxed; values from VASP
! **DFT formation energy**: -352 meV per atom
! **SG**: No. 216
! **Total moment**: 0.00 Bohr magnetons per cell
&SYSTEM
  ibrav = 0, nat = 3, ntyp = 3
/
ATOMIC_SPECIES
Hg 200.59 Hg.upf
Ir 192.22 Ir.upf
Sm 150.36 Sm.upf
ATOMIC_POSITIONS crystal
Hg 0.7500 0.7500 0.7500
Ir 0.0000 0.0000 0.0000
Sm 0.2500 0.2500 0.2500
CELL_PARAMETERS angstrom
2.3692 1.3678 3.8688
-2.3692 1.3678 3.8688
0.0000 -2.7357 3.8688

---

(10)
! PBE-GGA SmHgIr, relaxed; values from VASP
! **DFT formation energy**: 121 meV per atom
! **SG**: No. 216
! **Total moment**: 0.00 Bohr magnetons per cell
&SYSTEM
  ibrav = 0, nat = 3, ntyp = 3
/
ATOMIC_SPECIES
Hg 200.59 Hg.upf
Ir 192.22 Ir.upf
Sm 150.36 Sm.upf
ATOMIC_POSITIONS crystal
Hg 0.2500 0.2500 0.2500
Ir 0.7500 0.7500 0.7500
Sm 0.0000 0.0000 0.0000
CELL_PARAMETERS angstrom
-0.0562 -0.7813 4.7613
2.2440 3.0658 2.9746
-2.5770 2.8818 2.8875

---

(11)
! PBE-GGA SnHgIr, relaxed; values from VASP
! **SG**: No. 216
! **ΔE to the lowest computed polymorph**: 0 meV per atom
! **Total moment**: 0.00 Bohr magnetons per cell
&SYSTEM
  ibrav = 0, nat = 3, ntyp = 3
/
ATOMIC_SPECIES
Hg 200.59 Hg.upf
Ir 192.22 Ir.upf
Sn 118.71 Sn.upf
ATOMIC_POSITIONS crystal
Hg 0.2500 0.2500 0.2500
Ir 0.0000 0.0000 0.0000
Sn 0.7500 0.7500 0.7500
CELL_PARAMETERS angstrom
3.3836 2.2135 2.0621
-0.9171 2.9958 3.2840
1.0489 -0.9645 4.3093

---

(12)
! PBE-GGA Sn2HgIr, relaxed; values from VASP
! **SG**: No. 216
! **Total moment**: 0.00 Bohr magnetons per cell
! **Energy**: -15.5 eV per cell
&SYSTEM
  ibrav = 0, nat = 4, ntyp = 3
/
ATOMIC_SPECIES
Hg 200.59 Hg.upf
Ir 192.22 Ir.upf
Sn 118.71 Sn.upf
ATOMIC_POSITIONS crystal
Hg 0.2500 0.2500 0.2500
Ir 0.5000 0.5000 0.5000
Sn 0.0000 0.0000 0.0000
Sn 0.7500 0.7500 0.7500
CELL_PARAMETERS angstrom
-4.2906 -2.4467 0.3302
-4.2613 2.5032 0.2821
-3.1396 -0.0186 -3.8272

---

(13)
! PBE-GGA SnHg2Ir, relaxed; values from VASP
! **SG**: No. 216
! **Total moment**: 0.01 Bohr magnetons per cell
! **Energy**: -11.8 eV per cell
&SYSTEM
  ibrav = 0, nat = 4, ntyp = 3
/
ATOMIC_SPECIES
Hg 200.59 Hg.upf
Ir 192.22 Ir.upf
Sn 118.71 Sn.upf
ATOMIC_POSITIONS crystal
Hg 0.0000 0.0000 0.0000
Hg 0.7500 0.7500 0.7500
Ir 0.2500 0.2500 0.2500
Sn 0.5000 0.5000 0.5000
CELL_PARAMETERS angstrom
0.0000 3.4545 3.4545
3.4545 0.0000 3.4545
3.4545 3.4545 0.0000

---

(14)
! PBE-GGA SnHgIr2, relaxed; values from VASP
! **SG**: No. 216
! **Total moment**: 0.01 Bohr magnetons per cell
! **Energy**: -19.9 eV per cell
&SYSTEM
  ibrav = 0, nat = 4, ntyp = 3
/
ATOMIC_SPECIES
Hg 200.59 Hg.upf
Ir 192.22 Ir.upf
Sn 118.71 Sn.upf
ATOMIC_POSITIONS crystal
Hg 0.2500 0.2500 0.2500
Ir 0.0000 0.0000 0.0000
Ir 0.7500 0.7500 0.7500
Sn 0.5000 0.5000 0.5000
CELL_PARAMETERS angstrom
0.5197 -4.0659 2.2254
-3.7462 -2.5494 1.1045
-0.8364 -4.0063 -2.2368

---

(15)
! PBE-GGA SrSn2HgIr, relaxed; values from VASP
! **SG**: No. 129
! **Total moment**: 0.02 Bohr magnetons per cell
! **Energy**: -42.1 eV per cell
&SYSTEM
  ibrav = 0, nat = 10, ntyp = 4
/
ATOMIC_SPECIES
Hg 200.59 Hg.upf
Ir 192.22 Ir.upf
Sn 118.71 Sn.upf
Sr 87.62 Sr.upf
ATOMIC_POSITIONS crystal
Hg 0.0000 0.0000 0.0000
Hg 0.5000 0.5000 0.0000
Ir 0.5000 0.0000 0.3881
Ir 0.0000 0.5000 0.6119
Sn 0.5000 0.0000 0.1607
Sn 0.0000 0.0000 0.5000
Sn 0.5000 0.5000 0.5000
Sn 0.0000 0.5000 0.8393
Sr 0.0000 0.5000 0.2632
Sr 0.5000 0.0000 0.7368
CELL_PARAMETERS angstrom
4.7459 0.0000 0.0000
0.0000 4.7459 0.0000
0.0000 0.0000 11.3351

---

(16)
! PBE-GGA Ta2HgIr, relaxed; values from VASP
! **DFT formation energy**: 268 meV per atom
! **SG**: No. 216
! **Total moment**: 0.56 Bohr magnetons per cell
&SYSTEM
  ibrav = 0, nat = 4, ntyp = 3
/
ATOMIC_SPECIES
Hg 200.59 Hg.upf
Ir 192.22 Ir.upf
Ta 180.95 Ta.upf
ATOMIC_POSITIONS crystal
Hg 0.2500 0.2500 0.2500
Ir 0.5000 0.5000 0.5000
Ta 0.0000 0.0000 0.0000
Ta 0.7500 0.7500 0.7500
CELL_PARAMETERS angstrom
2.9288 -3.4216 1.0960
-0.8273 -2.6615 3.7038
-1.2838 -4.4185 -0.5613

---

(17)
! PBE-GGA TbHgIr, relaxed; values from VASP
! **DFT formation energy**: -378 meV per atom
! **SG**: No. 216
! **Total moment**: 0.00 Bohr magnetons per cell
&SYSTEM
  ibrav = 0, nat = 3, ntyp = 3
/
ATOMIC_SPECIES
Hg 200.59 Hg.upf
Ir 192.22 Ir.upf
Tb 158.93 Tb.upf
ATOMIC_POSITIONS crystal
Hg 0.0000 0.0000 0.0000
Ir 0.2500 0.2500 0.2500
Tb 0.5000 0.5000 0.5000
CELL_PARAMETERS angstrom
0.0000 3.3139 3.3139
3.3139 0.0000 3.3139
3.3139 3.3139 0.0000

---

(18)
! PBE-GGA Tb5Hg2Ir2, relaxed; values from VASP
! **DFT formation energy**: -662 meV per atom
! **SG**: No. 64
! **Total moment**: 0.01 Bohr magnetons per cell
&SYSTEM
  ibrav = 0, nat = 18, ntyp = 3
/
ATOMIC_SPECIES
Hg 200.59 Hg.upf
Ir 192.22 Ir.upf
Tb 158.93 Tb.upf
ATOMIC_POSITIONS crystal
Hg 0.2137 0.2137 0.0000
Hg 0.7863 0.7863 0.0000
Hg 0.2863 0.2863 0.5000
Hg 0.7137 0.7137 0.5000
Ir 0.3695 0.6305 0.1329
Ir 0.8695 0.1305 0.3671
Ir 0.1305 0.8695 0.6329
Ir 0.6305 0.3695 0.8671
Tb 0.0000 0.0000 0.0000
Tb 0.5491 0.2086 0.1711
Tb 0.7914 0.4509 0.1711
Tb 0.0491 0.7086 0.3289
Tb 0.2914 0.9509 0.3289
Tb 0.5000 0.5000 0.5000
Tb 0.7086 0.0491 0.6711
Tb 0.9509 0.2914 0.6711
Tb 0.2086 0.5491 0.8289
Tb 0.4509 0.7914 0.8289
CELL_PARAMETERS angstrom
7.9104 -3.7605 0.0000
7.9104 3.7605 0.0000
0.0000 0.0000 7.7057

---

(19)
! PBE-GGA TcHgIr, relaxed; values from VASP
! **DFT formation energy**: 662 meV per atom
! **SG**: No. 216
! **ΔE to the lowest computed polymorph**: 0 meV per atom
! **Total moment**: 0.05 Bohr magnetons per cell
&SYSTEM
  ibrav = 0, nat = 3, ntyp = 3
/
ATOMIC_SPECIES
Hg 200.59 Hg.upf
Ir 192.22 Ir.upf
Tc 98.00 Tc.upf
ATOMIC_POSITIONS crystal
Hg 0.2500 0.2500 0.2500
Ir 0.0000 0.0000 0.0000
Tc 0.7500 0.7500 0.7500
CELL_PARAMETERS angstrom
0.0000 3.0619 3.0619
3.0619 0.0000 3.0619
3.0619 3.0619 0.0000

---

(20)
! PBE-GGA TcHgIr2, relaxed; values from VASP
! **DFT formation energy**: 649 meV per atom
! **SG**: No. 216
! **Total moment**: 0.74 Bohr magnetons per cell
&SYSTEM
  ibrav = 0, nat = 4, ntyp = 3
/
ATOMIC_SPECIES
Hg 200.59 Hg.upf
Ir 192.22 Ir.upf
Tc 98.00 Tc.upf
ATOMIC_POSITIONS crystal
Hg 0.2500 0.2500 0.2500
Ir 0.5000 0.5000 0.5000
Ir 0.7500 0.7500 0.7500
Tc 0.0000 0.0000 0.0000
CELL_PARAMETERS angstrom
2.2469 1.2973 3.6692
-2.2469 1.2973 3.6692
0.0000 -2.5945 3.6692